1.
Material: Sm4AlCd
Method: DFT, PBE
State: relaxed Values from VASP.

Cell and atoms, written as Quantum ESPRESSO input:
```
&SYSTEM
  ibrav = 0, nat = 6, ntyp = 3
/
ATOMIC_SPECIES
Sm 150.36 Sm.upf
Al 26.98 Al.upf
Cd 112.41 Cd.upf
CELL_PARAMETERS angstrom
5.0900 0.0000 0.0000
0.0000 5.0900 0.0000
0.0000 0.0000 7.5988
ATOMIC_POSITIONS crystal
Sm 0.0000 0.5000 0.2405
Sm 0.0000 0.5000 0.7595
Sm 0.5000 0.0000 0.2405
Sm 0.5000 0.0000 0.7595
Al 0.0000 0.0000 0.0000
Cd 0.5000 0.5000 0.5000
```

Properties
For the formation enthalpy at 0 K, the calculation gives 34 meV per atom. As for the relative energy among the computed polymorphs: 226.6 meV per atom.

2.
Material: La2PdSe
Method: DFT, PBE
State: relaxed Values from VASP.

Cell and atoms, written as Quantum ESPRESSO input:
```
&SYSTEM
  ibrav = 0, nat = 8, ntyp = 3
/
ATOMIC_SPECIES
La 138.91 La.upf
Pd 106.42 Pd.upf
Se 78.96 Se.upf
CELL_PARAMETERS angstrom
2.0498 -12.0442 0.0000
2.0498 12.0442 0.0000
0.0000 0.0000 4.4545
ATOMIC_POSITIONS crystal
La 0.0630 0.9370 0.7500
La 0.3151 0.6849 0.7500
La 0.6849 0.3151 0.2500
La 0.9370 0.0630 0.2500
Pd 0.4579 0.5421 0.7500
Pd 0.5421 0.4579 0.2500
Se 0.1893 0.8107 0.7500
Se 0.8107 0.1893 0.2500
```

Properties
The uncorrected formation energy is -5.48 eV/f.u.

3.
Material: LiSeO3
Method: DFT, PBE
State: relaxed Values from VASP.

Cell and atoms, written as Quantum ESPRESSO input:
```
&SYSTEM
  ibrav = 0, nat = 10, ntyp = 3
/
ATOMIC_SPECIES
Li 6.94 Li.upf
Se 78.96 Se.upf
O 16.00 O.upf
CELL_PARAMETERS angstrom
3.4624 0.0000 0.0000
-1.6742 5.5173 0.0000
-0.0893 -0.2589 8.2098
ATOMIC_POSITIONS crystal
Li 0.1184 0.2110 0.1105
Li 0.8816 0.7890 0.8895
Se 0.1625 0.3523 0.7246
Se 0.8375 0.6477 0.2754
O 0.0691 0.1426 0.8674
O 0.3009 0.6236 0.8246
O 0.3262 0.6693 0.3723
O 0.6738 0.3307 0.6277
O 0.6991 0.3764 0.1754
O 0.9309 0.8574 0.1326
```

Properties
The uncorrected formation energy is -5.48 eV/f.u.

4.
Material: PmIn3Au
Method: DFT, PBE
State: relaxed Values from VASP.

Cell and atoms, written as Quantum ESPRESSO input:
```
&SYSTEM
  ibrav = 0, nat = 20, ntyp = 3
/
ATOMIC_SPECIES
Pm 145.00 Pm.upf
In 114.82 In.upf
Au 196.97 Au.upf
CELL_PARAMETERS angstrom
9.1918 0.0000 0.0000
0.0000 4.5946 0.0000
0.0000 0.0000 11.8093
ATOMIC_POSITIONS crystal
Pm 0.1958 0.2500 0.0055
Pm 0.3042 0.7500 0.5055
Pm 0.6958 0.2500 0.4945
Pm 0.8042 0.7500 0.9945
In 0.0688 0.2500 0.5946
In 0.0982 0.7500 0.8219
In 0.1357 0.7500 0.2028
In 0.3643 0.2500 0.7028
In 0.4018 0.2500 0.3219
In 0.4312 0.7500 0.0946
In 0.5688 0.2500 0.9054
In 0.5982 0.7500 0.6781
In 0.6357 0.7500 0.2972
In 0.8643 0.2500 0.7972
In 0.9018 0.2500 0.1781
In 0.9312 0.7500 0.4054
Au 0.1044 0.2500 0.3575
Au 0.3956 0.7500 0.8575
Au 0.6044 0.2500 0.1425
Au 0.8956 0.7500 0.6425
```

Properties
For the formation enthalpy at 0 K, the calculation gives -398 meV per atom.

5.
Material: Th5Sc3Bi8
Method: DFT, PBE
State: relaxed Values from VASP.

Cell and atoms, written as Quantum ESPRESSO input:
```
&SYSTEM
  ibrav = 0, nat = 16, ntyp = 3
/
ATOMIC_SPECIES
Th 232.04 Th.upf
Sc 44.96 Sc.upf
Bi 208.98 Bi.upf
CELL_PARAMETERS angstrom
4.4956 2.5955 7.2988
-4.4956 2.5955 7.2988
0.0000 -5.1910 7.2988
ATOMIC_POSITIONS crystal
Th 0.0000 0.0000 0.0000
Th 0.0000 0.5000 0.5000
Th 0.5000 0.0000 0.5000
Th 0.5000 0.5000 0.0000
Th 0.5000 0.5000 0.5000
Sc 0.0000 0.0000 0.5000
Sc 0.0000 0.5000 0.0000
Sc 0.5000 0.0000 0.0000
Bi 0.2331 0.7500 0.7500
Bi 0.2422 0.2422 0.2422
Bi 0.2500 0.2500 0.7669
Bi 0.2500 0.7669 0.2500
Bi 0.7500 0.2331 0.7500
Bi 0.7500 0.7500 0.2331
Bi 0.7578 0.7578 0.7578
Bi 0.7669 0.2500 0.2500
```

Properties
For the formation enthalpy at 0 K, the calculation gives -580 meV per atom.

6.
Material: GaB2SeN
Method: DFT, PBE
State: relaxed Values from VASP.

Cell and atoms, written as Quantum ESPRESSO input:
```
&SYSTEM
  ibrav = 0, nat = 5, ntyp = 4
/
ATOMIC_SPECIES
Ga 69.72 Ga.upf
B 10.81 B.upf
Se 78.96 Se.upf
N 14.01 N.upf
CELL_PARAMETERS angstrom
4.3738 0.0000 0.0000
0.0000 4.3738 0.0000
0.0000 0.0000 3.7201
ATOMIC_POSITIONS crystal
Ga 0.0000 0.0000 0.0000
B 0.0000 0.5000 0.0000
B 0.5000 0.0000 0.0000
Se 0.5000 0.5000 0.5000
N 0.0000 0.0000 0.5000
```

Properties
The uncorrected formation energy is 9.52 eV/f.u. As for the relative energy among the computed polymorphs: 549.9 meV per atom.

7.
Material: La4OsW
Method: DFT, PBE
State: relaxed Values from VASP.

Cell and atoms, written as Quantum ESPRESSO input:
```
&SYSTEM
  ibrav = 0, nat = 6, ntyp = 3
/
ATOMIC_SPECIES
La 138.91 La.upf
Os 190.23 Os.upf
W 183.84 W.upf
CELL_PARAMETERS angstrom
0.0000 4.2956 4.2956
4.2956 0.0000 4.2956
4.2956 4.2956 0.0000
ATOMIC_POSITIONS crystal
La 0.1246 0.1246 0.1246
La 0.1246 0.1246 0.6263
La 0.1246 0.6263 0.1246
La 0.6263 0.1246 0.1246
Os 0.7500 0.7500 0.7500
W 0.5000 0.5000 0.5000
```

Properties
For the formation enthalpy at 0 K, the calculation gives 1371 meV per atom.

8.
Material: TaSbAu
Method: DFT, PBE
State: relaxed Values from VASP.

Cell and atoms, written as Quantum ESPRESSO input:
```
&SYSTEM
  ibrav = 0, nat = 3, ntyp = 3
/
ATOMIC_SPECIES
Ta 180.95 Ta.upf
Sb 121.76 Sb.upf
Au 196.97 Au.upf
CELL_PARAMETERS angstrom
0.0000 3.2401 3.2401
3.2401 0.0000 3.2401
3.2401 3.2401 0.0000
ATOMIC_POSITIONS crystal
Ta 0.0000 0.0000 0.0000
Sb 0.2500 0.2500 0.2500
Au 0.5000 0.5000 0.5000
```

Properties
The uncorrected formation energy is 1.83 eV/f.u. As for the relative energy among the computed polymorphs: 458.0 meV per atom.

9.
Material: Nd3Ga6Pd20
Method: DFT, PBE
State: relaxed Values from VASP.

Cell and atoms, written as Quantum ESPRESSO input:
```
&SYSTEM
  ibrav = 0, nat = 29, ntyp = 3
/
ATOMIC_SPECIES
Nd 144.24 Nd.upf
Ga 69.72 Ga.upf
Pd 106.42 Pd.upf
CELL_PARAMETERS angstrom
0.0000 6.2910 6.2910
6.2910 0.0000 6.2910
6.2910 6.2910 0.0000
ATOMIC_POSITIONS crystal
Nd 0.0000 0.0000 0.0000
Nd 0.2500 0.2500 0.2500
Nd 0.7500 0.7500 0.7500
Ga 0.2720 0.2720 0.7280
Ga 0.2720 0.7280 0.2720
Ga 0.2720 0.7280 0.7280
Ga 0.7280 0.2720 0.2720
Ga 0.7280 0.2720 0.7280
Ga 0.7280 0.7280 0.2720
Pd 0.0000 0.0000 0.3460
Pd 0.0000 0.0000 0.6540
Pd 0.0000 0.3460 0.0000
Pd 0.0000 0.3460 0.6540
Pd 0.0000 0.6540 0.0000
Pd 0.0000 0.6540 0.3460
Pd 0.1431 0.6190 0.6190
Pd 0.3460 0.0000 0.0000
Pd 0.3460 0.0000 0.6540
Pd 0.3460 0.6540 0.0000
Pd 0.3810 0.3810 0.3810
Pd 0.3810 0.3810 0.8569
Pd 0.3810 0.8569 0.3810
Pd 0.6190 0.1431 0.6190
Pd 0.6190 0.6190 0.1431
Pd 0.6190 0.6190 0.6190
Pd 0.6540 0.0000 0.0000
Pd 0.6540 0.0000 0.3460
Pd 0.6540 0.3460 0.0000
Pd 0.8569 0.3810 0.3810
```

Properties
For the formation enthalpy at 0 K, the calculation gives -652 meV per atom.

10.
Material: UV3
Method: DFT, PBE
State: relaxed Values from VASP.

Cell and atoms, written as Quantum ESPRESSO input:
```
&SYSTEM
  ibrav = 0, nat = 4, ntyp = 2
/
ATOMIC_SPECIES
U 238.03 U.upf
V 50.94 V.upf
CELL_PARAMETERS angstrom
2.6545 0.0000 0.0000
0.0000 4.3425 0.0000
0.0000 0.0000 5.3467
ATOMIC_POSITIONS crystal
U 0.0000 0.0000 0.0000
V 0.0000 0.5000 0.2497
V 0.5000 0.0000 0.4755
V 0.5000 0.5000 0.7465
```

Properties
For the formation enthalpy at 0 K, the calculation gives 270 meV per atom. As for the relative energy among the computed polymorphs: 166.0 meV per atom.

11.
Material: SrCa2CdO
Method: DFT, PBE
State: relaxed Values from VASP.

Cell and atoms, written as Quantum ESPRESSO input:
```
&SYSTEM
  ibrav = 0, nat = 5, ntyp = 4
/
ATOMIC_SPECIES
Sr 87.62 Sr.upf
Ca 40.08 Ca.upf
Cd 112.41 Cd.upf
O 16.00 O.upf
CELL_PARAMETERS angstrom
4.8331 0.0000 0.0000
0.0000 4.8331 0.0000
0.0000 0.0000 5.4548
ATOMIC_POSITIONS crystal
Sr 0.0000 0.0000 0.0000
Ca 0.0000 0.5000 0.5000
Ca 0.5000 0.0000 0.5000
Cd 0.5000 0.5000 0.0000
O 0.0000 0.0000 0.5000
```

Properties
The uncorrected formation energy is -6.26 eV/f.u.

Number 1: M_tot 0.0 μB per cell, calculated total energy -23.33 eV per cell. Number 2: M_tot 0.0 μB per cell, calculated total energy -48.02 eV per cell. Number 3: M_tot 0.0 μB per cell, calculated total energy -51.51 eV per cell. Number 4: M_tot 0.0 μB per cell, calculated total energy -72.94 eV per cell. Number 5: M_tot 0.0 μB per cell, calculated total energy -96.42 eV per cell. Number 6: M_tot 0.0 μB per cell, calculated total energy -18.67 eV per cell. Number 7: M_tot 2.2 μB per cell, calculated total energy -35.67 eV per cell. Number 8: M_tot 0.0 μB per cell, calculated total energy -17.42 eV per cell. Number 9: M_tot 0.0 μB per cell, calculated total energy -155.24 eV per cell. Number 10: M_tot 0.0 μB per cell, calculated total energy -37.56 eV per cell. Number 11: M_tot 0.0 μB per cell, calculated total energy -17.81 eV per cell.